The following is a PBE calculation of an optimized crystal structure of Li2WBr, from Alexandria.

- energy relative to the lowest polymorph listed for this composition (eV per atom) = 0.6559
- total moment (μB/f.u.) = 0.00
- DFT total energy (eV per atom) = -3.821
- symmetry = I-42d (122)
- ΔE_f (raw) (meV/atom) = 793

Lattice parameters (Å, degrees): 7.2975 7.2975 5.7359 50.50 50.50 90.00
Closest atoms and distances in Å follow each position.
Sites, in units of the cell vectors:
Li  0.1630  0.6250  0.2500  2 Br 2.47, 2 Li 2.57
Li  0.3750  0.4130  0.7500  2 Br 2.47, 2 Li 2.57
Li  0.8750  0.8370  0.7500  2 Br 2.47, 2 Li 2.57
Li  0.5870  0.1250  0.2500  2 Br 2.47, 2 Li 2.57
Br  0.2500  0.7500  0.5000  4 Li 2.47, 2 W 2.50
Br  0.5000  0.5000  0.0000  4 Li 2.47, 2 W 2.50
W  0.0000  0.0000  0.0000  2 Br 2.50
W  0.7500  0.2500  0.5000  2 Br 2.50

The following is a PBE calculation of an optimized crystal structure of Li3WBr, from Alexandria.

- energy relative to the lowest polymorph listed for this composition (eV per atom) = 0.3962
- total moment (μB/f.u.) = 4.61
- DFT total energy (eV per atom) = -2.973
- symmetry = Pm-3m (221)
- ΔE_f (raw) (meV/atom) = 1101

Lattice parameters (Å, degrees): 5.2582 5.2582 5.2582 90.00 90.00 90.00
Closest atoms and distances in Å follow each position.
Sites, in units of the cell vectors:
W  0.0000  0.0000  0.0000  6 Li 2.63
Li  0.0000  0.0000  0.5000  2 W 2.63
Li  0.5000  0.0000  0.0000  2 W 2.63
Li  0.0000  0.5000  0.0000  2 W 2.63
Br  0.5000  0.5000  0.5000  12 Li 3.72

The following is a PBE calculation of an optimized crystal structure of LiW2Br, from Alexandria.

- energy relative to the lowest polymorph listed for this composition (eV per atom) = 0.2033
- total moment (μB/f.u.) = 0.00
- DFT total energy (eV per atom) = -6.946
- symmetry = Immm (71)
- ΔE_f (raw) (meV/atom) = 428

Lattice parameters (Å, degrees): 7.2212 7.2212 3.3599 76.55 76.55 26.48
Closest atoms and distances in Å follow each position.
Sites, in units of the cell vectors:
Li  0.2500  0.2500  0.2500  4 Br 2.36
W  0.0404  0.0404  0.9596  4 W 2.60
W  0.4596  0.4596  0.5404  4 W 2.60
Br  0.7500  0.7500  0.7500  4 Li 2.36

The following is a PBE calculation of an optimized crystal structure of LiWBr2, from Alexandria.

- energy relative to the lowest polymorph listed for this composition (eV per atom) = 0.4476
- total moment (μB/f.u.) = 4.36
- DFT total energy (eV per atom) = -4.066
- symmetry = I-4m2 (119)
- ΔE_f (raw) (meV/atom) = 487

Lattice parameters (Å, degrees): 7.7371 7.7371 7.7371 151.22 151.22 41.15
Closest atoms and distances in Å follow each position.
Sites, in units of the cell vectors:
Br  0.2500  0.7500  0.5000  4 W 2.72
Br  0.0000  0.0000  0.0000  4 Li 2.72
Li  0.5000  0.5000  0.0000  4 Br 2.72
W  0.7500  0.2500  0.5000  4 Br 2.72

The following is a PBE calculation of an optimized crystal structure of LiWBr2, from Alexandria.

- energy relative to the lowest polymorph listed for this composition (eV per atom) = 0.2805
- total moment (μB/f.u.) = 0.36
- DFT total energy (eV per atom) = -4.233
- symmetry = R-3m (166)
- ΔE_f (raw) (meV/atom) = 320

Lattice parameters (Å, degrees): 8.1754 8.1754 8.1754 22.90 22.90 22.90
Closest atoms and distances in Å follow each position.
Sites, in units of the cell vectors:
Li  0.2500  0.2500  0.2500  6 Br 2.70
W  0.7500  0.7500  0.7500  6 Br 2.77
Br  0.9978  0.9978  0.9978  3 Li 2.70, 3 W 2.77
Br  0.5022  0.5022  0.5022  3 Li 2.70, 3 W 2.77

The following is a PBE calculation of an optimized crystal structure of LiWBr2, from Alexandria.

- energy relative to the lowest polymorph listed for this composition (eV per atom) = 0.1521
- total moment (μB/f.u.) = 0.00
- DFT total energy (eV per atom) = -4.361
- symmetry = Immm (71)
- ΔE_f (raw) (meV/atom) = 192

Lattice parameters (Å, degrees): 7.6480 7.6480 7.6480 156.13 142.96 44.54
Closest atoms and distances in Å follow each position.
Sites, in units of the cell vectors:
Br  0.3915  0.3915  0.0000  2 W 2.55
Br  0.1085  0.1085  0.0000  2 W 2.55
W  0.2500  0.7500  0.5000  4 Br 2.55
Li  0.7500  0.2500  0.5000  4 W 2.90, 4 Br 3.15, 2 Li 3.16

The following is a PBE calculation of an optimized crystal structure of Li2WBr, from Alexandria.

- energy relative to the lowest polymorph listed for this composition (eV per atom) = 0.5873
- total moment (μB/f.u.) = 0.00
- DFT total energy (eV per atom) = -3.889
- symmetry = P4/mmm (123)
- ΔE_f (raw) (meV/atom) = 724

Lattice parameters (Å, degrees): 2.9604 4.7549 4.7549 90.00 90.00 90.00
Closest atoms and distances in Å follow each position.
Sites, in units of the cell vectors:
W  0.5000  0.5000  0.0000  8 Li 2.80, 2 W 2.96
Br  0.5000  0.0000  0.5000  8 Li 2.80, 2 Br 2.96
Li  0.0000  0.0000  0.0000  4 W 2.80, 4 Br 2.80, 2 Li 2.96
Li  0.0000  0.5000  0.5000  4 W 2.80, 4 Br 2.80, 2 Li 2.96

The following is a PBE calculation of an optimized crystal structure of LiW2Br, from Alexandria.

- energy relative to the lowest polymorph listed for this composition (eV per atom) = 0.5150
- total moment (μB/f.u.) = 0.00
- DFT total energy (eV per atom) = -6.634
- symmetry = C2/m (12)
- ΔE_f (raw) (meV/atom) = 739

Lattice parameters (Å, degrees): 6.2508 6.2508 3.1889 75.00 75.00 130.57
Closest atoms and distances in Å follow each position.
Sites, in units of the cell vectors:
W  0.0000  0.0000  0.0000  4 W 2.58-2.61
W  0.5000  0.5000  0.0000  4 W 2.58-2.61
Li  0.0000  0.5000  0.5000  4 Br 2.58-2.61
Br  0.5000  0.0000  0.5000  4 Li 2.58-2.61